[1]
PBE YScAl2, relaxed; DFT formation energy = -353 meV/atom; energy relative to the lowest polymorph listed for this composition = 0.31 eV per formula unit; space group = Imm2, No. 44
1.0
-1.844 2.355 5.077
1.844 -2.355 5.077
1.844 2.355 -5.077
Y Sc Al
1 1 2
Cartesian
0.000 0.000 0.000
0.000 2.355 2.388
1.844 0.000 2.714
0.000 0.000 4.654

***

[2]
PBE TcB2F, relaxed; energy relative to the lowest polymorph listed for this composition = 0.00 eV per formula unit; space group = I-42d, No. 122; ΔE_f (raw) = 0.59 eV/atom
1.0
-2.609 2.609 3.159
2.609 -2.609 3.159
2.609 2.609 -3.159
Tc B F
2 4 2
Cartesian
0.000 0.000 0.000
0.000 2.609 1.579
1.305 -1.173 2.369
1.437 1.305 0.790
1.305 3.782 -0.790
1.173 1.305 3.949
2.609 0.000 1.579
0.000 0.000 3.159

***

[3]
PBE CsBa3Au, relaxed; DFT formation energy = -258 meV/atom; energy relative to the lowest polymorph listed for this composition = 0.00 eV per formula unit; space group = Pm-3m, No. 221
1.0
6.690 0.000 0.000
0.000 6.690 0.000
0.000 0.000 6.690
Cs Ba Au
1 3 1
Cartesian
0.000 0.000 0.000
0.000 3.345 3.345
3.345 0.000 3.345
3.345 3.345 0.000
3.345 3.345 3.345

***

[4]
PBE Tc2BiSe, relaxed; energy relative to the lowest polymorph listed for this composition = 0.97 eV per formula unit; space group = I-42d, No. 122; ΔE_f (raw) = 0.77 eV/atom
1.0
-3.023 3.023 5.385
3.023 -3.023 5.385
3.023 3.023 -5.385
Tc Bi Se
4 2 2
Cartesian
4.535 1.243 -1.346
1.243 1.512 1.346
-1.512 1.780 4.039
1.780 1.512 6.732
3.023 0.000 2.693
0.000 0.000 5.385
0.000 0.000 0.000
0.000 3.023 2.693

***

[5]
PBE TcGeMo, relaxed; DFT formation energy = -32 meV/atom; energy relative to the lowest polymorph listed for this composition = 0.00 eV per formula unit; space group = P-6m2, No. 187
1.0
4.288 0.000 0.000
-2.144 3.713 0.000
0.000 0.000 2.866
Tc Ge Mo
1 1 1
Cartesian
0.000 0.000 0.000
2.144 1.238 0.000
0.000 2.476 1.433

***

[6]
PBE SmPaMn, relaxed; DFT formation energy = 105 meV/atom; energy relative to the lowest polymorph listed for this composition = 0.15 eV per formula unit; space group = I4mm, No. 107
1.0
-1.691 1.691 5.748
1.691 -1.691 5.748
1.691 1.691 -5.748
Sm Pa Mn
1 1 1
Cartesian
0.000 0.000 0.000
0.000 0.000 3.356
0.000 0.000 8.019

***

[7]
PBE AcPaTlBi, relaxed; DFT formation energy = -41 meV/atom; space group = F-43m, No. 216
1.0
0.000 3.991 3.991
3.991 0.000 3.991
3.991 3.991 0.000
Ac Pa Tl Bi
1 1 1 1
Cartesian
0.000 0.000 0.000
3.991 3.991 3.991
5.987 5.987 5.987
1.996 1.996 1.996

***

[8]
PBE TlIn2Os, relaxed; DFT formation energy = 799 meV/atom; energy relative to the lowest polymorph listed for this composition = 1.76 eV per formula unit; space group = F-43m, No. 216
1.0
0.000 3.505 3.505
3.505 0.000 3.505
3.505 3.505 0.000
Tl In Os
1 2 1
Cartesian
0.000 0.000 0.000
1.752 1.752 1.752
3.505 3.505 3.505
5.257 5.257 5.257

***

no.,Fermi-level density of states (states/eV/cell)
1,2.627
2,3.096
3,5.473
4,11.719
5,1.770
6,3.467
7,8.094
8,3.180